Entry 1:
This record from the Alexandria database describes a relaxed structure of Ac2PuHg3. The functional is PBE-GGA.

Cell and atoms, written as CIF:
```
data_Ac2PuHg3
_cell_length_a 3.958
_cell_length_b 3.958
_cell_length_c 11.854
_cell_angle_alpha 90.00
_cell_angle_beta 90.00
_cell_angle_gamma 90.00
_symmetry_space_group_name_H-M 'P 4/m m m'
_symmetry_Int_Tables_number 123
_symmetry_space_group_name_Hall '-P 4 2'
loop_
_atom_site_label
_atom_site_type_symbol
_atom_site_fract_x
_atom_site_fract_y
_atom_site_fract_z
_atom_site_occupancy
Ac1 Ac 0.000 0.000 0.175 1
Pu1 Pu 0.000 0.000 0.500 1
Hg1 Hg 0.500 0.500 0.000 1
Hg2 Hg 0.500 0.500 0.351 1
```

Properties
As for the density of states at the Fermi level: 12.96 states/eV per cell. Its volume is 31.0 Å³ per atom. Its crystal system is tetragonal. The calculation puts the magnetic moment at 6.464 μB per formula unit.

=====

Entry 2:
This record from the Alexandria database describes a relaxed structure of AcPuHg5. The functional is PBE-GGA.

Cell and atoms, written as CIF:
```
data_AcPuHg5
_cell_length_a 5.403
_cell_length_b 5.403
_cell_length_c 7.010
_cell_angle_alpha 90.00
_cell_angle_beta 90.00
_cell_angle_gamma 90.00
_symmetry_space_group_name_H-M 'P 4/m m m'
_symmetry_Int_Tables_number 123
_symmetry_space_group_name_Hall '-P 4 2'
loop_
_atom_site_label
_atom_site_type_symbol
_atom_site_fract_x
_atom_site_fract_y
_atom_site_fract_z
_atom_site_occupancy
Ac1 Ac 0.000 0.000 0.000 1
Pu1 Pu 0.500 0.500 0.500 1
Hg1 Hg 0.000 0.500 0.279 1
Hg2 Hg 0.500 0.500 0.000 1
```

Properties
As for the density of states at the Fermi level: 13.28 states/eV per cell. Its volume is 29.2 Å³ per atom. Its crystal system is tetragonal. The calculation puts the magnetic moment at 5.849 μB per formula unit.

=====

Entry 3:
This record from the Alexandria database describes a relaxed structure of AcPuHg. The functional is PBE-GGA.

Cell and atoms, written as CIF:
```
data_AcPuHg
_cell_length_a 3.857
_cell_length_b 3.857
_cell_length_c 13.096
_cell_angle_alpha 90.00
_cell_angle_beta 90.00
_cell_angle_gamma 90.00
_symmetry_space_group_name_H-M 'I 4 m m'
_symmetry_Int_Tables_number 107
_symmetry_space_group_name_Hall 'I 4 -2'
loop_
_atom_site_label
_atom_site_type_symbol
_atom_site_fract_x
_atom_site_fract_y
_atom_site_fract_z
_atom_site_occupancy
Ac1 Ac 0.000 0.000 0.000 1
Pu1 Pu 0.000 0.000 0.301 1
Hg1 Hg 0.000 0.000 0.667 1
```

Properties
As for the density of states at the Fermi level: 19.75 states/eV per cell. Its volume is 32.5 Å³ per atom. Its crystal system is tetragonal. The calculation puts the magnetic moment at 6.381 μB per formula unit.

=====

Entry 4:
This record from the Alexandria database describes a relaxed structure of AcPuHg3. The functional is PBE-GGA.

Cell and atoms, written as CIF:
```
data_AcPuHg3
_cell_length_a 3.645
_cell_length_b 30.337
_cell_length_c 5.106
_cell_angle_alpha 90.00
_cell_angle_beta 90.00
_cell_angle_gamma 90.00
_symmetry_space_group_name_H-M 'C m c m'
_symmetry_Int_Tables_number 63
_symmetry_space_group_name_Hall '-C 2c 2'
loop_
_atom_site_label
_atom_site_type_symbol
_atom_site_fract_x
_atom_site_fract_y
_atom_site_fract_z
_atom_site_occupancy
Ac1 Ac 0.000 0.075 0.250 1
Pu1 Pu 0.000 0.215 0.750 1
Hg1 Hg 0.000 0.321 0.750 1
Hg2 Hg 0.000 0.375 0.250 1
Hg3 Hg 0.000 0.475 0.250 1
```

Properties
As for the density of states at the Fermi level: 45.54 states/eV per cell. Its volume is 28.2 Å³ per atom. Its crystal system is orthorhombic. The calculation puts the magnetic moment at 6.164 μB per formula unit.

=====

Entry 5:
This record from the Alexandria database describes a relaxed structure of AcPuHgRu. The functional is PBE-GGA.

Cell and atoms, written as CIF:
```
data_AcPuHgRu
_cell_length_a 7.445
_cell_length_b 7.445
_cell_length_c 7.445
_cell_angle_alpha 90.00
_cell_angle_beta 90.00
_cell_angle_gamma 90.00
_symmetry_space_group_name_H-M 'F -4 3 m'
_symmetry_Int_Tables_number 216
_symmetry_space_group_name_Hall 'F -4 2 3'
loop_
_atom_site_label
_atom_site_type_symbol
_atom_site_fract_x
_atom_site_fract_y
_atom_site_fract_z
_atom_site_occupancy
Ac1 Ac 0.000 0.000 0.000 1
Pu1 Pu 0.000 0.000 0.500 1
Hg1 Hg 0.250 0.250 0.250 1
Ru1 Ru 0.250 0.250 0.750 1
```

Properties
As for the density of states at the Fermi level: 51.32 states/eV per cell. Its volume is 25.8 Å³ per atom. Its crystal system is cubic. The calculation puts the magnetic moment at 5.545 μB per formula unit.

=====

Entry 6:
This record from the Alexandria database describes a relaxed structure of AcPuHgSb. The functional is PBE-GGA.

Cell and atoms, written as CIF:
```
data_AcPuHgSb
_cell_length_a 7.873
_cell_length_b 7.873
_cell_length_c 7.873
_cell_angle_alpha 90.00
_cell_angle_beta 90.00
_cell_angle_gamma 90.00
_symmetry_space_group_name_H-M 'F -4 3 m'
_symmetry_Int_Tables_number 216
_symmetry_space_group_name_Hall 'F -4 2 3'
loop_
_atom_site_label
_atom_site_type_symbol
_atom_site_fract_x
_atom_site_fract_y
_atom_site_fract_z
_atom_site_occupancy
Ac1 Ac 0.000 0.000 0.000 1
Pu1 Pu 0.000 0.000 0.500 1
Hg1 Hg 0.250 0.250 0.250 1
Sb1 Sb 0.250 0.250 0.750 1
```

Properties
As for the density of states at the Fermi level: 49.92 states/eV per cell. Its volume is 30.5 Å³ per atom. Its crystal system is cubic. The calculation puts the magnetic moment at 6.972 μB per formula unit.

=====

Entry 7:
This record from the Alexandria database describes a relaxed structure of AcSmPuHg. The functional is PBE-GGA.

Cell and atoms, written as CIF:
```
data_AcSmPuHg
_cell_length_a 7.843
_cell_length_b 7.843
_cell_length_c 7.843
_cell_angle_alpha 90.00
_cell_angle_beta 90.00
_cell_angle_gamma 90.00
_symmetry_space_group_name_H-M 'F -4 3 m'
_symmetry_Int_Tables_number 216
_symmetry_space_group_name_Hall 'F -4 2 3'
loop_
_atom_site_label
_atom_site_type_symbol
_atom_site_fract_x
_atom_site_fract_y
_atom_site_fract_z
_atom_site_occupancy
Ac1 Ac 0.000 0.000 0.000 1
Sm1 Sm 0.250 0.250 0.750 1
Pu1 Pu 0.250 0.250 0.250 1
Hg1 Hg 0.000 0.000 0.500 1
```

Properties
As for the density of states at the Fermi level: 41.51 states/eV per cell. Its volume is 30.2 Å³ per atom. Its crystal system is cubic. The calculation puts the magnetic moment at 7.658 μB per formula unit.

=====

Entry 8:
This record from the Alexandria database describes a relaxed structure of AcPuSnHg. The functional is PBE-GGA.

Cell and atoms, written as CIF:
```
data_AcPuSnHg
_cell_length_a 7.893
_cell_length_b 7.893
_cell_length_c 7.893
_cell_angle_alpha 90.00
_cell_angle_beta 90.00
_cell_angle_gamma 90.00
_symmetry_space_group_name_H-M 'F -4 3 m'
_symmetry_Int_Tables_number 216
_symmetry_space_group_name_Hall 'F -4 2 3'
loop_
_atom_site_label
_atom_site_type_symbol
_atom_site_fract_x
_atom_site_fract_y
_atom_site_fract_z
_atom_site_occupancy
Ac1 Ac 0.000 0.000 0.000 1
Pu1 Pu 0.000 0.000 0.500 1
Sn1 Sn 0.250 0.250 0.750 1
Hg1 Hg 0.250 0.250 0.250 1
```

Properties
As for the density of states at the Fermi level: 45.90 states/eV per cell. Its volume is 30.7 Å³ per atom. Its crystal system is cubic. The calculation puts the magnetic moment at 6.819 μB per formula unit.

=====

Number 1: uncorrected energy -4.25 eV/atom. Number 2: uncorrected energy -3.03 eV/atom. Number 3: uncorrected energy -6.32 eV/atom. Number 4: uncorrected energy -4.16 eV/atom. Number 5: uncorrected energy -6.99 eV/atom. Number 6: uncorrected energy -6.19 eV/atom. Number 7: uncorrected energy -5.73 eV/atom. Number 8: uncorrected energy -6.05 eV/atom.